No. 1
PmDyPbO2: relaxed, PBE.

Cell: 7.693 7.693 7.693 Å, 150.62 150.62 42.03°
Atoms (fractional coordinates):
Pm (0.000, 0.000, 0.000)
Dy (0.339, 0.339, 0.000)
Pb (0.670, 0.670, 0.000)
O (0.415, 0.915, 0.500)
O (0.915, 0.415, 0.500)

- calculated volume (Å³/atom) = 21.9
- total magnetization (μB per cell) = 0.00
- raw total energy (eV per atom) = -7.11

=====

No. 2
Be2CuP: relaxed, PBE.

Cell: 4.180 4.180 2.565 Å, 90.00 90.00 109.90°
Atoms (fractional coordinates):
Be (0.000, 0.500, 0.000)
Be (0.500, 0.000, 0.000)
Cu (0.000, 0.000, 0.500)
P (0.500, 0.500, 0.500)

- energy of formation (eV/atom) = 0.167
- calculated volume (Å³/atom) = 10.5
- total magnetization (μB per cell) = 0.00

=====

No. 3
NaCdIn2: relaxed, PBE.

Cell: 6.137 6.137 7.782 Å, 90.00 90.00 133.48°
Atoms (fractional coordinates):
Na (0.078, 0.922, 0.750)
Na (0.922, 0.078, 0.250)
Cd (0.210, 0.790, 0.250)
Cd (0.790, 0.210, 0.750)
In (0.371, 0.629, 0.550)
In (0.371, 0.629, 0.950)
In (0.629, 0.371, 0.050)
In (0.629, 0.371, 0.450)

- energy of formation (eV/atom) = -0.105
- calculated volume (Å³/atom) = 26.6
- total magnetization (μB per cell) = 0.00

=====

No. 4
Be2FeTe: relaxed, PBE.

Cell: 3.094 3.888 4.613 Å, 90.00 93.69 90.00°
Atoms (fractional coordinates):
Be (0.230, 0.000, 0.338)
Be (0.770, 0.000, 0.662)
Fe (0.500, 0.500, 0.500)
Te (0.000, 0.500, 0.000)

- calculated volume (Å³/atom) = 13.8
- total magnetization (μB per cell) = 0.36
- raw total energy (eV per atom) = -4.25

=====

No. 5
Cs2BSbBr6: relaxed, PBE.

Cell: 7.794 7.794 7.794 Å, 119.90 119.90 90.18°
Atoms (fractional coordinates):
Cs (0.250, 0.750, 0.500)
Cs (0.750, 0.250, 0.500)
B (0.000, 0.000, 0.000)
Sb (0.500, 0.500, 0.000)
Br (0.242, 0.242, 0.000)
Br (0.243, 0.243, 0.485)
Br (0.243, 0.757, 0.000)
Br (0.757, 0.243, 0.000)
Br (0.757, 0.757, 0.515)
Br (0.758, 0.758, 0.000)

- calculated volume (Å³/atom) = 33.5
- total magnetization (μB per cell) = 0.00
- raw total energy (eV per atom) = -2.96

=====

No. 6
Ho4TlNi: relaxed, PBE.

Cell: 9.572 9.572 9.572 Å, 60.00 60.00 60.00°
Atoms (fractional coordinates):
Ho (0.044, 0.652, 0.652)
Ho (0.062, 0.062, 0.438)
Ho (0.062, 0.438, 0.062)
Ho (0.062, 0.438, 0.438)
Ho (0.187, 0.187, 0.813)
Ho (0.187, 0.813, 0.187)
Ho (0.187, 0.813, 0.813)
Ho (0.438, 0.062, 0.062)
Ho (0.438, 0.062, 0.438)
Ho (0.438, 0.438, 0.062)
Ho (0.652, 0.044, 0.652)
Ho (0.652, 0.652, 0.044)
Ho (0.652, 0.652, 0.652)
Ho (0.813, 0.187, 0.187)
Ho (0.813, 0.187, 0.813)
Ho (0.813, 0.813, 0.187)
Tl (0.414, 0.414, 0.414)
Tl (0.414, 0.414, 0.757)
Tl (0.414, 0.757, 0.414)
Tl (0.757, 0.414, 0.414)
Ni (0.428, 0.857, 0.857)
Ni (0.857, 0.428, 0.857)
Ni (0.857, 0.857, 0.428)
Ni (0.857, 0.857, 0.857)

- energy of formation (eV/atom) = -0.318
- calculated volume (Å³/atom) = 25.8
- energy relative to the lowest polymorph listed for this composition (kJ per mole of atoms) = 0.0
- total magnetization (μB per cell) = 0.00